(1)
# KNa2MoBr8 (GGA-PBE, optimized geometry)
# - Magnetic moment: 2.15 μB/f.u.
# - Formation energy (no corrections): -0.9631 eV per atom
data_KNa2MoBr8
_chemical_formula_sum 'K1 Na2 Mo1 Br8'
_cell_length_a 6.305
_cell_length_b 6.720
_cell_length_c 9.475
_cell_angle_alpha 90.03
_cell_angle_beta 90.14
_cell_angle_gamma 93.62
_space_group_name_H-M_alt 'P -1'
_space_group_IT_number 2
_space_group_name_Hall '-P 1'
loop_
_atom_site_label
_atom_site_type_symbol
_atom_site_fract_x
_atom_site_fract_y
_atom_site_fract_z
K1 K 0.000 0.000 0.000
Na1 Na 0.499 0.500 0.736
Mo1 Mo 0.000 0.000 0.500
Br1 Br 0.226 0.329 0.499
Br2 Br 0.234 0.866 0.308
Br3 Br 0.236 0.867 0.692
Br4 Br 0.246 0.479 0.000

=====

(2)
# NaHg3H (GGA-PBE, optimized geometry)
# - Calculated total energy: -0.952 eV per atom
# - Magnetic moment: 0.00 μB/f.u.
data_NaHg3H
_chemical_formula_sum 'Na1 Hg3 H1'
_cell_length_a 4.765
_cell_length_b 4.765
_cell_length_c 4.765
_cell_angle_alpha 90.00
_cell_angle_beta 90.00
_cell_angle_gamma 90.00
_space_group_name_H-M_alt 'P m -3 m'
_space_group_IT_number 221
_space_group_name_Hall '-P 4 2 3'
loop_
_atom_site_label
_atom_site_type_symbol
_atom_site_fract_x
_atom_site_fract_y
_atom_site_fract_z
Na1 Na 0.000 0.000 0.000
Hg1 Hg 0.000 0.500 0.500
H1 H 0.500 0.500 0.500

=====

(3)
# Tb4Pm5Pr3 (GGA-PBE, optimized geometry)
# - Magnetic moment: 0.00 μB/f.u.
# - DFT formation energy: 13.8 meV/atom
data_Tb4Pm5Pr3
_chemical_formula_sum 'Tb4 Pm5 Pr3'
_cell_length_a 6.302
_cell_length_b 7.266
_cell_length_c 8.909
_cell_angle_alpha 90.06
_cell_angle_beta 90.05
_cell_angle_gamma 90.06
_space_group_name_H-M_alt 'P -1'
_space_group_IT_number 2
_space_group_name_Hall '-P 1'
loop_
_atom_site_label
_atom_site_type_symbol
_atom_site_fract_x
_atom_site_fract_y
_atom_site_fract_z
Tb1 Tb 0.166 0.499 0.166
Tb2 Tb 0.332 0.748 0.834
Pm1 Pm 0.001 0.748 0.500
Pm2 Pm 0.166 0.000 0.166
Pm3 Pm 0.500 0.500 0.500
Pr1 Pr 0.334 0.252 0.835
Pr2 Pr 0.500 0.000 0.500

=====

(4)
# LiPa2ReN6 (GGA-PBE, optimized geometry)
# - Magnetic moment: 0.00 μB/f.u.
# - Formation energy (no corrections): -0.6756 eV per atom
data_LiPa2ReN6
_chemical_formula_sum 'Li1 Pa2 Re1 N6'
_cell_length_a 5.195
_cell_length_b 5.195
_cell_length_c 4.981
_cell_angle_alpha 90.00
_cell_angle_beta 90.00
_cell_angle_gamma 90.00
_space_group_name_H-M_alt 'P 4 m m'
_space_group_IT_number 99
_space_group_name_Hall 'P 4 -2'
loop_
_atom_site_label
_atom_site_type_symbol
_atom_site_fract_x
_atom_site_fract_y
_atom_site_fract_z
Li1 Li 0.000 0.000 0.000
Pa1 Pa 0.000 0.500 0.437
Re1 Re 0.500 0.500 0.032
N1 N 0.000 0.000 0.591
N2 N 0.259 0.259 0.178
N3 N 0.500 0.500 0.661

=====

(5)
# LiGa8Pd2 (GGA-PBE, optimized geometry)
# - Magnetic moment: 0.00 μB/f.u.
# - DFT formation energy: -243.4 meV/atom
data_LiGa8Pd2
_chemical_formula_sum 'Li2 Ga16 Pd4'
_cell_length_a 11.812
_cell_length_b 6.833
_cell_length_c 5.101
_cell_angle_alpha 90.00
_cell_angle_beta 100.48
_cell_angle_gamma 90.00
_space_group_name_H-M_alt 'C 1 2/m 1'
_space_group_IT_number 12
_space_group_name_Hall '-C 2y'
loop_
_atom_site_label
_atom_site_type_symbol
_atom_site_fract_x
_atom_site_fract_y
_atom_site_fract_z
Li1 Li 0.000 0.000 0.000
Ga1 Ga 0.084 0.500 0.865
Ga2 Ga 0.099 0.286 0.396
Ga3 Ga 0.205 0.000 0.811
Pd1 Pd 0.226 0.000 0.319

=====

(6)
# LiNdSm2Au4 (GGA-PBE, optimized geometry)
# - Magnetic moment: 0.00 μB/f.u.
# - DFT formation energy: -720.8 meV/atom
data_LiNdSm2Au4
_chemical_formula_sum 'Li3 Nd3 Sm6 Au12'
_cell_length_a 5.1062
_cell_length_b 5.1062
_cell_length_c 25.0347
_cell_angle_alpha 90.00
_cell_angle_beta 90.00
_cell_angle_gamma 120.00
_space_group_name_H-M_alt 'R -3 m'
_space_group_IT_number 166
_space_group_name_Hall '-R 3 2"'
loop_
_atom_site_label
_atom_site_type_symbol
_atom_site_fract_x
_atom_site_fract_y
_atom_site_fract_z
Li1 Li 0.0000 0.0000 0.0000
Nd1 Nd 0.0000 0.0000 0.5000
Sm1 Sm 0.0000 0.0000 0.2584
Au1 Au 0.0000 0.0000 0.1210
Au2 Au 0.0000 0.0000 0.3788

=====

(7)
# Nd2MgCu2 (GGA-PBE, optimized geometry)
# - Magnetic moment: 0.00 μB/f.u.
# - DFT formation energy: -195.7 meV/atom
data_Nd2MgCu2
_chemical_formula_sum 'Nd4 Mg2 Cu4'
_cell_length_a 7.812
_cell_length_b 7.812
_cell_length_c 3.856
_cell_angle_alpha 90.00
_cell_angle_beta 90.00
_cell_angle_gamma 90.00
_space_group_name_H-M_alt 'P 4/m b m'
_space_group_IT_number 127
_space_group_name_Hall '-P 4 2ab'
loop_
_atom_site_label
_atom_site_type_symbol
_atom_site_fract_x
_atom_site_fract_y
_atom_site_fract_z
Nd1 Nd 0.170 0.330 0.000
Mg1 Mg 0.000 0.000 0.500
Cu1 Cu 0.122 0.622 0.500

=====

(8)
# Pr2MgHg6 (GGA-PBE, optimized geometry)
# - Magnetic moment: 0.00 μB/f.u.
# - DFT formation energy: -334.7 meV/atom
data_Pr2MgHg6
_chemical_formula_sum 'Pr4 Mg2 Hg12'
_cell_length_a 11.758
_cell_length_b 6.477
_cell_length_c 6.021
_cell_angle_alpha 90.00
_cell_angle_beta 93.20
_cell_angle_gamma 90.00
_space_group_name_H-M_alt 'C 1 2/m 1'
_space_group_IT_number 12
_space_group_name_Hall '-C 2y'
loop_
_atom_site_label
_atom_site_type_symbol
_atom_site_fract_x
_atom_site_fract_y
_atom_site_fract_z
Pr1 Pr 0.165 0.000 0.171
Mg1 Mg 0.000 0.500 0.000
Hg1 Hg 0.089 0.235 0.688
Hg2 Hg 0.185 0.500 0.318

=====

(9)
# Li2AcAg9 (GGA-PBE, optimized geometry)
# - Magnetic moment: 0.00 μB/f.u.
# - DFT formation energy: -47.3 meV/atom
data_Li2AcAg9
_chemical_formula_sum 'Li2 Ac1 Ag9'
_cell_length_a 8.8441
_cell_length_b 8.8441
_cell_length_c 3.4385
_cell_angle_alpha 90.00
_cell_angle_beta 90.00
_cell_angle_gamma 120.00
_space_group_name_H-M_alt 'P 6/m m m'
_space_group_IT_number 191
_space_group_name_Hall '-P 6 2'
loop_
_atom_site_label
_atom_site_type_symbol
_atom_site_fract_x
_atom_site_fract_y
_atom_site_fract_z
Li1 Li 0.3333 0.6667 0.0000
Ac1 Ac 0.0000 0.0000 0.0000
Ag1 Ag 0.0000 0.5000 0.0000
Ag2 Ag 0.1924 0.3849 0.5000

=====

(10)
# CePr15Y4 (GGA-PBE, optimized geometry)
# - Magnetic moment: 1.25 μB/f.u.
# - DFT formation energy: 24.2 meV/atom
data_CePr15Y4
_chemical_formula_sum 'Ce1 Pr15 Y4'
_cell_length_a 5.213
_cell_length_b 5.213
_cell_length_c 25.946
_cell_angle_alpha 90.00
_cell_angle_beta 90.00
_cell_angle_gamma 90.00
_space_group_name_H-M_alt 'P 4/m m m'
_space_group_IT_number 123
_space_group_name_Hall '-P 4 2'
loop_
_atom_site_label
_atom_site_type_symbol
_atom_site_fract_x
_atom_site_fract_y
_atom_site_fract_z
Ce1 Ce 0.000 0.000 0.000
Pr1 Pr 0.000 0.500 0.099
Pr2 Pr 0.000 0.500 0.300
Pr3 Pr 0.000 0.500 0.500
Pr4 Pr 0.500 0.500 0.000
Pr5 Pr 0.500 0.500 0.201
Pr6 Pr 0.500 0.500 0.400
Y1 Y 0.000 0.000 0.200
Y2 Y 0.000 0.000 0.400

=====

(11)
# La3Tm8 (GGA-PBE, optimized geometry)
# - Magnetic moment: 0.00 μB/f.u.
# - DFT formation energy: 564.8 meV/atom
data_La3Tm8
_chemical_formula_sum 'La9 Tm24'
_cell_length_a 10.2938
_cell_length_b 10.2938
_cell_length_c 12.0858
_cell_angle_alpha 90.00
_cell_angle_beta 90.00
_cell_angle_gamma 120.00
_space_group_name_H-M_alt 'R -3'
_space_group_IT_number 148
_space_group_name_Hall '-R 3'
loop_
_atom_site_label
_atom_site_type_symbol
_atom_site_fract_x
_atom_site_fract_y
_atom_site_fract_z
La1 La 0.0000 0.5000 0.0000
Tm1 Tm 0.0000 0.0000 0.3486
Tm2 Tm 0.0050 0.8107 0.8893

=====

(12)
# BaThGa2Ge2 (GGA-PBE, optimized geometry)
# - Magnetic moment: 0.00 μB/f.u.
# - DFT formation energy: -565.2 meV/atom
data_BaThGa2Ge2
_chemical_formula_sum 'Ba1 Th1 Ga2 Ge2'
_cell_length_a 4.2692
_cell_length_b 4.2692
_cell_length_c 9.6700
_cell_angle_alpha 90.00
_cell_angle_beta 90.00
_cell_angle_gamma 120.00
_space_group_name_H-M_alt 'P -3 m 1'
_space_group_IT_number 164
_space_group_name_Hall '-P 3 2"'
loop_
_atom_site_label
_atom_site_type_symbol
_atom_site_fract_x
_atom_site_fract_y
_atom_site_fract_z
Ba1 Ba 0.0000 0.0000 0.0000
Th1 Th 0.0000 0.0000 0.5000
Ga1 Ga 0.3333 0.6667 0.3101
Ge1 Ge 0.3333 0.6667 0.7633

=====

Question: The highest magnetic moment belongs to which entry?
Answer: KNa2MoBr8

=====

What did the fourth record say?
# LiPa2ReN6 (GGA-PBE, optimized geometry)
# - Magnetic moment: 0.00 μB/f.u.
# - Formation energy (no corrections): -0.6756 eV per atom
data_LiPa2ReN6
_chemical_formula_sum 'Li1 Pa2 Re1 N6'
_cell_length_a 5.195
_cell_length_b 5.195
_cell_length_c 4.981
_cell_angle_alpha 90.00
_cell_angle_beta 90.00
_cell_angle_gamma 90.00
_space_group_name_H-M_alt 'P 4 m m'
_space_group_IT_number 99
_space_group_name_Hall 'P 4 -2'
loop_
_atom_site_label
_atom_site_type_symbol
_atom_site_fract_x
_atom_site_fract_y
_atom_site_fract_z
Li1 Li 0.000 0.000 0.000
Pa1 Pa 0.000 0.500 0.437
Re1 Re 0.500 0.500 0.032
N1 N 0.000 0.000 0.591
N2 N 0.259 0.259 0.178
N3 N 0.500 0.500 0.661